(1)
DFT (PBE-GGA) results for PrNd6Er5 after structural relaxation.

Summary:
Space-group type: No. 65
Magnetic moment (μB per cell): 0.00
E_form (eV per atom): 0.018

Cell: 11.3399 5.1236 8.1163 Å, 71.60 81.80 63.12°
With the nearest neighbours (Å) after each atom.
Fractional positions:
Pr1 0.0000 0.0000 0.0000  8 Nd 3.62, 4 Er 3.65
Nd1 0.7478 0.0853 0.3344  7 Er 3.58-3.62, 4 Nd 3.61-3.63, 1 Pr 3.62
Nd2 0.2522 0.5803 0.3344  7 Er 3.58-3.62, 4 Nd 3.61-3.63, 1 Pr 3.62
Nd3 0.2526 0.2474 0.0000  6 Er 3.58-3.64, 2 Pr 3.62, 4 Nd 3.63
Nd4 0.7474 0.7526 0.0000  6 Er 3.58-3.64, 2 Pr 3.62, 4 Nd 3.63
Nd5 0.7478 0.4197 0.6656  7 Er 3.58-3.62, 4 Nd 3.61-3.63, 1 Pr 3.62
Nd6 0.2522 0.9147 0.6656  7 Er 3.58-3.62, 4 Nd 3.61-3.63, 1 Pr 3.62
Er1 0.5000 0.1664 0.6672  8 Nd 3.58-3.59, 4 Er 3.62-3.63
Er2 0.0000 0.3316 0.3368  2 Er 3.59, 8 Nd 3.59-3.64, 2 Pr 3.65
Er3 0.5000 0.5000 0.0000  8 Nd 3.58-3.59, 4 Er 3.62
Er4 0.0000 0.6684 0.6632  2 Er 3.59, 8 Nd 3.59-3.64, 2 Pr 3.65
Er5 0.5000 0.8336 0.3328  8 Nd 3.58-3.59, 4 Er 3.62-3.63

***

(2)
DFT (PBE-GGA) results for HgPb5 after structural relaxation.

Summary:
Space-group type: No. 65
Magnetic moment (μB per cell): 0.00
E_form (eV per atom): 0.001
Excess energy over the best structure of this formula in the dataset (eV/atom): 0.000

Cell: 7.7601 7.7601 4.9959 Å, 90.00 90.00 142.59°
With the nearest neighbours (Å) after each atom.
Fractional positions:
Hg1 0.9722 0.0278 0.0000  12 Pb 3.45-3.53
Pb1 0.8099 0.1901 0.5000  10 Pb 3.45-3.58, 2 Hg 3.45
Pb2 0.6380 0.3620 0.0000  2 Hg 3.48, 10 Pb 3.49-3.55
Pb3 0.4722 0.5278 0.5000  8 Pb 3.45-3.49, 4 Hg 3.53
Pb4 0.3064 0.6936 0.0000  2 Hg 3.48, 10 Pb 3.49-3.55
Pb5 0.1345 0.8655 0.5000  10 Pb 3.45-3.58, 2 Hg 3.45

***

(3)
DFT (PBE-GGA) results for KPdPb2 after structural relaxation.

Summary:
Space-group type: No. 62
Magnetic moment (μB per cell): 0.00
E_form (eV per atom): -0.235

Cell: 6.5150 8.1702 17.2587 Å, 90.00 90.00 90.00°
With the nearest neighbours (Å) after each atom.
Fractional positions:
K1 0.4776 0.2500 0.1350  3 Pd 3.31-3.54, 4 Pb 3.55-3.59
K2 0.9776 0.7500 0.3650  3 Pd 3.31-3.54, 4 Pb 3.55-3.59
K3 0.5224 0.7500 0.8650  3 Pd 3.31-3.54, 4 Pb 3.55-3.59
K4 0.0224 0.2500 0.6350  3 Pd 3.31-3.54, 4 Pb 3.55-3.59
K5 0.7874 0.2500 0.3940  3 Pd 3.38-3.63, 8 Pb 3.56-3.77
K6 0.2874 0.7500 0.1060  3 Pd 3.38-3.63, 8 Pb 3.56-3.77
K7 0.2126 0.7500 0.6060  3 Pd 3.38-3.63, 8 Pb 3.56-3.77
K8 0.7126 0.2500 0.8940  3 Pd 3.38-3.63, 8 Pb 3.56-3.77
Pd1 0.2665 0.2500 0.3186  6 Pb 2.90-3.04
Pd2 0.7665 0.7500 0.1814  6 Pb 2.90-3.04
Pd3 0.7335 0.7500 0.6814  6 Pb 2.90-3.04
Pd4 0.2335 0.2500 0.8186  6 Pb 2.90-3.04
Pd5 0.9957 0.2500 0.0735  6 Pb 2.90-2.94
Pd6 0.4957 0.7500 0.4265  6 Pb 2.90-2.94
Pd7 0.0043 0.7500 0.9265  6 Pb 2.90-2.94
Pd8 0.5043 0.2500 0.5735  6 Pb 2.90-2.94
Pb1 0.9838 0.0521 0.2141  3 Pd 2.90-3.04, 1 Pb 3.23
Pb2 0.4838 0.9479 0.2859  3 Pd 2.90-3.04, 1 Pb 3.23
Pb3 0.0162 0.5521 0.7859  3 Pd 2.90-3.04, 1 Pb 3.23
Pb4 0.5162 0.4479 0.7141  3 Pd 2.90-3.04, 1 Pb 3.23
Pb5 0.0162 0.9479 0.7859  3 Pd 2.90-3.04, 1 Pb 3.23
Pb6 0.5162 0.0521 0.7141  3 Pd 2.90-3.04, 1 Pb 3.23
Pb7 0.9838 0.4479 0.2141  3 Pd 2.90-3.04, 1 Pb 3.23
Pb8 0.4838 0.5521 0.2859  3 Pd 2.90-3.04, 1 Pb 3.23
Pb9 0.7796 0.5516 0.0404  3 Pd 2.90-2.94, 1 Pb 3.24
Pb10 0.2796 0.4484 0.4596  3 Pd 2.90-2.94, 1 Pb 3.24
Pb11 0.2204 0.0516 0.9596  3 Pd 2.90-2.94, 1 Pb 3.24
Pb12 0.7204 0.9484 0.5404  3 Pd 2.90-2.94, 1 Pb 3.24
Pb13 0.2204 0.4484 0.9596  3 Pd 2.90-2.94, 1 Pb 3.24
Pb14 0.7204 0.5516 0.5404  3 Pd 2.90-2.94, 1 Pb 3.24
Pb15 0.7796 0.9484 0.0404  3 Pd 2.90-2.94, 1 Pb 3.24
Pb16 0.2796 0.0516 0.4596  3 Pd 2.90-2.94, 1 Pb 3.24

***

(4)
DFT (PBE-GGA) results for Tb2Ho5Rh4 after structural relaxation.

Summary:
Space-group type: No. 12
Magnetic moment (μB per cell): 0.00
E_form (eV per atom): -0.334

Cell: 3.2855 8.1587 14.2991 Å, 134.24 96.60 90.00°
With the nearest neighbours (Å) after each atom.
Fractional positions:
Tb1 0.0695 0.7935 0.1390  2 Rh 2.63-2.91
Tb2 0.9305 0.2065 0.8610  2 Rh 2.63-2.91
Ho1 0.1815 0.7733 0.3630  4 Rh 2.65-2.89
Ho2 0.8185 0.2267 0.6370  4 Rh 2.65-2.89
Ho3 0.1736 0.3671 0.3473  3 Rh 2.70-2.97
Ho4 0.5000 0.0000 0.0000  4 Rh 2.94, 2 Ho 3.29
Ho5 0.8264 0.6329 0.6527  3 Rh 2.70-2.97
Rh1 0.7684 0.7899 0.5368  6 Ho 2.70-2.97
Rh2 0.9471 0.6019 0.8943  2 Tb 2.63-2.91, 1 Ho 2.65
Rh3 0.2316 0.2101 0.4632  6 Ho 2.70-2.97
Rh4 0.0529 0.3981 0.1057  2 Tb 2.63-2.91, 1 Ho 2.65

***

(5)
DFT (PBE-GGA) results for Na3Ag2Sn4 after structural relaxation.

Summary:
Space-group type: No. 2
Magnetic moment (μB per cell): 0.00
E_form (eV per atom): -0.088
Excess energy over the best structure of this formula in the dataset (eV/atom): 0.090

Cell: 4.6688 6.1300 10.6677 Å, 61.68 77.55 67.48°
With the nearest neighbours (Å) after each atom.
Fractional positions:
Na1 0.6415 0.1372 0.5843  6 Sn 3.19-3.44, 1 Ag 3.44
Na2 0.0000 0.0000 0.0000  8 Sn 3.41-3.53, 4 Ag 3.43-3.47
Na3 0.3585 0.8628 0.4157  6 Sn 3.19-3.44, 1 Ag 3.44
Ag1 0.6263 0.5402 0.2019  5 Sn 2.79-3.04
Ag2 0.3737 0.4598 0.7981  5 Sn 2.79-3.04
Sn1 0.2879 0.3274 0.1009  3 Ag 2.91-3.04, 3 Sn 3.18-3.23, 1 Na 3.19
Sn2 0.9351 0.4893 0.6452  2 Ag 2.79, 1 Sn 2.97
Sn3 0.0649 0.5107 0.3548  2 Ag 2.79, 1 Sn 2.97
Sn4 0.7121 0.6726 0.8991  3 Ag 2.91-3.04, 3 Sn 3.18-3.23, 1 Na 3.19

***

(6)
DFT (PBE-GGA) results for CoAs2AuSe after structural relaxation.

Summary:
Space-group type: No. 123
Magnetic moment (μB per cell): 0.00
Formation energy (no corrections) (eV/f.u.): 2.17
Excess energy over the best structure of this formula in the dataset (eV/atom): 0.000

Cell: 4.4157 4.4157 5.1348 Å, 90.00 90.00 90.00°
With the nearest neighbours (Å) after each atom.
Fractional positions:
Co1 0.0000 0.0000 0.0000  4 As 2.21
As1 0.0000 0.5000 0.0000  2 Co 2.21
As2 0.5000 0.0000 0.0000  2 Co 2.21
Au1 0.5000 0.5000 0.5000  4 Se 3.12, 8 As 3.39
Se1 0.0000 0.0000 0.5000  2 Co 2.57

***

(7)
DFT (PBE-GGA) results for CaFeRu2 after structural relaxation.

Summary:
Space-group type: No. 10
Magnetic moment (μB per cell): 3.59
E_form (eV per atom): 0.429

Cell: 4.1451 2.8150 5.9231 Å, 77.58 90.00 90.00°
With the nearest neighbours (Å) after each atom.
Fractional positions:
Ru1 0.0000 0.9398 0.9444  2 Fe 2.48, 2 Ru 2.57-2.74
Ru2 0.0000 0.5602 0.5556  2 Fe 2.48, 2 Ru 2.57-2.74
Ca1 0.5000 0.2500 0.2500  2 Ca 2.81, 2 Fe 2.99, 8 Ru 3.00-3.14
Fe1 0.5000 0.7500 0.7500  4 Ru 2.48

***

(8)
DFT (PBE-GGA) results for La2PmCu2 after structural relaxation.

Summary:
Space-group type: No. 11
Magnetic moment (μB per cell): 0.00
E_form (eV per atom): -0.070
Excess energy over the best structure of this formula in the dataset (eV/atom): 0.010

Cell: 4.8383 3.9617 14.1737 Å, 98.33 90.00 90.00°
With the nearest neighbours (Å) after each atom.
Fractional positions:
La1 0.2500 0.9464 0.8930  7 Cu 2.91-3.22
La2 0.7500 0.0536 0.1070  7 Cu 2.91-3.22
La3 0.2500 0.2708 0.5357  2 Cu 2.88-2.89
La4 0.7500 0.7292 0.4643  2 Cu 2.88-2.89
Pm1 0.2500 0.6361 0.2730  5 Cu 3.08-3.20
Pm2 0.7500 0.3639 0.7270  5 Cu 3.08-3.20
Cu1 0.2500 0.8489 0.6853  3 La 2.88-2.91, 4 Pm 3.16-3.20
Cu2 0.7500 0.1511 0.3147  3 La 2.88-2.91, 4 Pm 3.16-3.20
Cu3 0.2500 0.5264 0.0536  2 Cu 2.85, 2 La 2.99-3.01, 1 Pm 3.08
Cu4 0.7500 0.4736 0.9464  2 Cu 2.85, 2 La 2.99-3.01, 1 Pm 3.08

***

(9)
DFT (PBE-GGA) results for CoSnPdS2 after structural relaxation.

Summary:
Space-group type: No. 123
Magnetic moment (μB per cell): 2.45
Formation energy (no corrections) (eV/f.u.): 4.10

Cell: 4.6708 5.2236 4.6708 Å, 90.00 90.00 90.00°
With the nearest neighbours (Å) after each atom.
Fractional positions:
S1 0.0000 0.0000 0.5000  2 Pd 2.34
S2 0.5000 0.0000 0.0000  2 Pd 2.34
Co1 0.5000 0.5000 0.5000  4 Sn 3.30, 8 S 3.50
Sn1 0.0000 0.5000 0.0000  2 Pd 2.61
Pd1 0.0000 0.0000 0.0000  4 S 2.34, 2 Sn 2.61

***

(10)
DFT (PBE-GGA) results for LaTb2Sm3Te6 after structural relaxation.

Summary:
Space-group type: No. 12
Magnetic moment (μB per cell): 0.00
Formation energy (no corrections) (eV/f.u.): -16.71

Cell: 4.4256 8.9325 9.9259 Å, 102.81 102.88 90.00°
With the nearest neighbours (Å) after each atom.
Fractional positions:
La1 0.5000 0.0000 0.0000  6 Te 3.18-3.22
Tb1 0.8338 0.6685 0.6677  6 Te 3.07-3.12
Tb2 0.1662 0.3315 0.3323  6 Te 3.07-3.12
Sm1 0.5000 0.5000 0.0000  6 Te 3.10-3.18
Sm2 0.8376 0.1690 0.6751  6 Te 3.12-3.18
Sm3 0.1624 0.8310 0.3249  6 Te 3.12-3.18
Te1 0.3290 0.9112 0.6581  2 Tb 3.11, 3 Sm 3.14-3.17, 1 La 3.22
Te2 0.6685 0.5793 0.3370  3 Tb 3.12, 3 Sm 3.18
Te3 0.6710 0.0888 0.3419  2 Tb 3.11, 3 Sm 3.14-3.17, 1 La 3.22
Te4 0.0033 0.2579 0.0066  1 Tb 3.07, 3 Sm 3.10-3.12, 2 La 3.18
Te5 0.9967 0.7421 0.9934  1 Tb 3.07, 3 Sm 3.10-3.12, 2 La 3.18
Te6 0.3315 0.4207 0.6630  3 Tb 3.12, 3 Sm 3.18

***

(11)
DFT (PBE-GGA) results for Zn3SeCl after structural relaxation.

Summary:
Space-group type: No. 221
Magnetic moment (μB per cell): 0.00
Formation energy (no corrections) (eV/f.u.): 0.33
Excess energy over the best structure of this formula in the dataset (eV/atom): 0.000

Cell: 5.1636 5.1636 5.1636 Å, 90.00 90.00 90.00°
With the nearest neighbours (Å) after each atom.
Fractional positions:
Zn1 0.0000 0.5000 0.0000  2 Se 2.58
Zn2 0.0000 0.0000 0.5000  2 Se 2.58
Zn3 0.5000 0.0000 0.0000  2 Se 2.58
Se1 0.0000 0.0000 0.0000  6 Zn 2.58
Cl1 0.5000 0.5000 0.5000  12 Zn 3.65

***

(12)
DFT (PBE-GGA) results for BaPr2NpN4 after structural relaxation.

Summary:
Space-group type: No. 63
Magnetic moment (μB per cell): 5.97
Formation energy (no corrections) (eV/f.u.): -7.33

Cell: 3.7576 6.7285 13.0711 Å, 90.00 90.00 106.21°
With the nearest neighbours (Å) after each atom.
Fractional positions:
Ba1 0.1055 0.2110 0.7500  6 N 2.98-3.14
Ba2 0.8945 0.7890 0.2500  6 N 2.98-3.14
Pr1 0.3714 0.7428 0.5308  5 N 2.44-2.73
Pr2 0.6286 0.2572 0.0308  5 N 2.44-2.73
Pr3 0.6286 0.2572 0.4692  5 N 2.44-2.73
Pr4 0.3714 0.7428 0.9692  5 N 2.44-2.73
Np1 0.8378 0.6756 0.7500  4 N 2.13-2.20
Np2 0.1622 0.3244 0.2500  4 N 2.13-2.20
N1 0.2550 0.5100 0.1157  1 Np 2.13
N2 0.7450 0.4900 0.6157  1 Np 2.13
N3 0.7450 0.4900 0.8843  1 Np 2.13
N4 0.2550 0.5100 0.3843  1 Np 2.13
N5 0.0000 0.0000 0.5000  4 Pr 2.54
N6 0.0000 0.0000 0.0000  4 Pr 2.54
N7 0.4265 0.8529 0.7500  2 Np 2.20
N8 0.5735 0.1471 0.2500  2 Np 2.20